The following is a DFT calculation (PBE) of a relaxed BaPr2Sn2Hg2 crystal.

a = 10.263 Å, b = 10.263 Å, c = 10.263 Å
α = 29.28°, β = 29.28°, γ = 29.28°
Element x y z (fractional)
1 Ba 0.000 0.000 0.000
2 Pr 0.133 0.133 0.133
3 Pr 0.867 0.867 0.867
4 Sn 0.256 0.256 0.256
5 Sn 0.744 0.744 0.744
6 Hg 0.432 0.432 0.432
7 Hg 0.568 0.568 0.568

## Properties
ΔH_f (0 K): -0.42 eV per atom
V: 228.8 Å³/cell
Space-group type: R-3m, No. 166
Uncorrected energy: -0.121 hartree per atom

The following is a DFT calculation (PBE) of a relaxed BaSr2PrHg4 crystal.

a = 9.890 Å, b = 9.890 Å, c = 9.890 Å
α = 33.22°, β = 33.22°, γ = 33.22°
Element x y z (fractional)
1 Ba 0.000 0.000 0.000
2 Sr 0.250 0.250 0.250
3 Sr 0.750 0.750 0.750
4 Pr 0.500 0.500 0.500
5 Hg 0.129 0.129 0.129
6 Hg 0.381 0.381 0.381
7 Hg 0.619 0.619 0.619
8 Hg 0.871 0.871 0.871

## Properties
ΔH_f (0 K): -0.50 eV per atom
V: 258.4 Å³/cell
Space-group type: R-3m, No. 166
Uncorrected energy: -0.070 hartree per atom

The following is a DFT calculation (PBE) of a relaxed Ba2PrHgTe5 crystal.

a = 10.576 Å, b = 10.576 Å, c = 14.162 Å
α = 90.00°, β = 90.00°, γ = 154.65°
Element x y z (fractional)
1 Ba 0.118 0.882 0.500
2 Ba 0.127 0.873 0.133
3 Ba 0.873 0.127 0.633
4 Ba 0.882 0.118 0.000
5 Pr 0.204 0.796 0.826
6 Pr 0.796 0.204 0.326
7 Hg 0.448 0.552 0.253
8 Hg 0.552 0.448 0.753
9 Te 0.047 0.953 0.872
10 Te 0.295 0.705 0.481
11 Te 0.308 0.692 0.170
12 Te 0.356 0.644 0.820
13 Te 0.496 0.504 0.573
14 Te 0.504 0.496 0.073
15 Te 0.644 0.356 0.320
16 Te 0.692 0.308 0.670
17 Te 0.705 0.295 0.981
18 Te 0.953 0.047 0.372

## Properties
V: 678.2 Å³/cell
Space-group type: Cmc2_1, No. 36
ΔE_f (raw): -115 kJ/mol of atoms
Uncorrected energy: -0.144 hartree per atom

The following is a DFT calculation (PBE) of a relaxed BaPrTlHg crystal.

a = 5.764 Å, b = 5.764 Å, c = 5.764 Å
α = 60.00°, β = 60.00°, γ = 60.00°
Element x y z (fractional)
1 Ba 0.000 0.000 0.000
2 Pr 0.500 0.500 0.500
3 Tl 0.750 0.750 0.750
4 Hg 0.250 0.250 0.250

## Properties
ΔH_f (0 K): -0.36 eV per atom
V: 135.4 Å³/cell
Space-group type: F-43m, No. 216
Uncorrected energy: -0.099 hartree per atom

The following is a DFT calculation (PBE) of a relaxed BaPrZnHg crystal.

a = 5.617 Å, b = 5.617 Å, c = 5.617 Å
α = 60.00°, β = 60.00°, γ = 60.00°
Element x y z (fractional)
1 Ba 0.000 0.000 0.000
2 Pr 0.500 0.500 0.500
3 Zn 0.750 0.750 0.750
4 Hg 0.250 0.250 0.250

## Properties
ΔH_f (0 K): -0.27 eV per atom
V: 125.3 Å³/cell
Space-group type: F-43m, No. 216
Uncorrected energy: -0.086 hartree per atom

The following is a DFT calculation (PBE) of a relaxed Ba5Hg4Pt crystal.

a = 4.088 Å, b = 4.088 Å, c = 21.144 Å
α = 90.00°, β = 90.00°, γ = 90.00°
Element x y z (fractional)
1 Ba 0.000 0.000 0.000
2 Ba 0.000 0.000 0.206
3 Ba 0.000 0.000 0.414
4 Ba 0.000 0.000 0.586
5 Ba 0.000 0.000 0.794
6 Hg 0.500 0.500 0.104
7 Hg 0.500 0.500 0.307
8 Hg 0.500 0.500 0.693
9 Hg 0.500 0.500 0.896
10 Pt 0.500 0.500 0.500

## Properties
ΔH_f (0 K): -0.54 eV per atom
V: 353.4 Å³/cell
Space-group type: P4/mmm, No. 123
Uncorrected energy: -0.082 hartree per atom

The following is a DFT calculation (PBE) of a relaxed Ba2HgPt crystal.

a = 4.002 Å, b = 4.002 Å, c = 9.167 Å
α = 90.00°, β = 90.00°, γ = 90.00°
Element x y z (fractional)
1 Ba 0.000 0.000 0.000
2 Ba 0.500 0.500 0.447
3 Hg 0.000 0.000 0.653
4 Pt 0.500 0.500 0.802

## Properties
ΔH_f (0 K): -0.35 eV per atom
V: 146.8 Å³/cell
Space-group type: P4mm, No. 99
Uncorrected energy: -0.106 hartree per atom

The following is a DFT calculation (PBE) of a relaxed BaHgPt2 crystal.

a = 4.722 Å, b = 4.643 Å, c = 5.399 Å
α = 90.00°, β = 94.38°, γ = 90.00°
Element x y z (fractional)
1 Ba 0.000 0.000 0.000
2 Hg 0.506 0.500 0.305
3 Pt 0.474 0.000 0.594
4 Pt 0.486 0.500 0.812

## Properties
ΔH_f (0 K): -0.42 eV per atom
V: 118.0 Å³/cell
Space-group type: Pm, No. 6
Uncorrected energy: -0.147 hartree per atom

The following is a DFT calculation (PBE) of a relaxed Ba2HgPt crystal.

a = 8.762 Å, b = 8.762 Å, c = 8.762 Å
α = 30.65°, β = 30.65°, γ = 30.65°
Element x y z (fractional)
1 Ba 0.000 0.000 0.000
2 Ba 0.197 0.197 0.197
3 Hg 0.764 0.764 0.764
4 Pt 0.599 0.599 0.599

## Properties
ΔH_f (0 K): -0.60 eV per atom
V: 155.0 Å³/cell
Space-group type: R3m, No. 160
Uncorrected energy: -0.116 hartree per atom

The following is a DFT calculation (PBE) of a relaxed Ba2HgPt crystal.

a = 4.689 Å, b = 4.836 Å, c = 6.546 Å
α = 90.00°, β = 110.88°, γ = 90.00°
Element x y z (fractional)
1 Ba 0.000 0.000 0.000
2 Ba 0.278 0.500 0.557
3 Hg 0.572 0.500 0.144
4 Pt 0.711 0.000 0.425

## Properties
ΔH_f (0 K): -0.59 eV per atom
V: 138.7 Å³/cell
Space-group type: Pm, No. 6
Uncorrected energy: -0.115 hartree per atom

The following is a DFT calculation (PBE) of a relaxed BaHg2Pt2 crystal.

a = 7.956 Å, b = 7.956 Å, c = 3.663 Å
α = 90.00°, β = 90.00°, γ = 90.00°
Element x y z (fractional)
1 Ba 0.000 0.000 0.000
2 Ba 0.500 0.500 0.000
3 Hg 0.163 0.337 0.500
4 Hg 0.337 0.837 0.500
5 Hg 0.663 0.163 0.500
6 Hg 0.837 0.663 0.500
7 Pt 0.125 0.625 0.000
8 Pt 0.375 0.125 0.000
9 Pt 0.625 0.875 0.000
10 Pt 0.875 0.375 0.000

## Properties
ΔH_f (0 K): -0.22 eV per atom
V: 231.8 Å³/cell
Energy above the most stable polymorph in this dataset: 225 meV per atom
Space-group type: P4/mbm, No. 127
Uncorrected energy: -0.116 hartree per atom

The following is a DFT calculation (PBE) of a relaxed Ba3Hg2Pt crystal.

a = 9.103 Å, b = 9.103 Å, c = 8.217 Å
α = 90.00°, β = 90.00°, γ = 143.08°
Element x y z (fractional)
1 Ba 0.000 0.000 0.238
2 Ba 0.000 0.000 0.762
3 Ba 0.326 0.674 0.228
4 Ba 0.326 0.674 0.772
5 Ba 0.674 0.326 0.228
6 Ba 0.674 0.326 0.772
7 Hg 0.166 0.834 0.500
8 Hg 0.500 0.500 0.000
9 Hg 0.500 0.500 0.500
10 Hg 0.834 0.166 0.500
11 Pt 0.158 0.842 0.000
12 Pt 0.842 0.158 0.000

## Properties
ΔH_f (0 K): -0.55 eV per atom
V: 409.1 Å³/cell
Space-group type: Cmmm, No. 65
Uncorrected energy: -0.096 hartree per atom